[1]
# BeIrSe2 PBE optimized geometry
data_BeIrSe2
_chemical_formula_sum 'Be2 Ir2 Se4'
_cell_length_a 5.005
_cell_length_b 5.005
_cell_length_c 5.341
_cell_angle_alpha 90.00
_cell_angle_beta 90.00
_cell_angle_gamma 90.00
_space_group_name_H-M_alt 'I 4/m m m'
_space_group_IT_number 139
_space_group_name_Hall '-I 4 2'
loop_
_atom_site_label
_atom_site_fract_x
_atom_site_fract_y
_atom_site_fract_z
Be1 0.000 0.000 0.000
Ir1 0.000 0.000 0.500
Se1 0.000 0.500 0.000
# Formation energy without anion corrections   0.298 eV/atom
# Total magnetization   0.0 μB/f.u.
# Density of states at the Fermi level   0.404 states/eV per atom
# ΔE to the lowest computed polymorph   577 meV/atom

[2]
# BeIrSe2 PBE optimized geometry
data_BeIrSe2
_chemical_formula_sum 'Be2 Ir2 Se4'
_cell_length_a 2.860
_cell_length_b 5.200
_cell_length_c 9.714
_cell_angle_alpha 90.00
_cell_angle_beta 90.00
_cell_angle_gamma 90.00
_space_group_name_H-M_alt 'C m m 2'
_space_group_IT_number 35
_space_group_name_Hall 'C 2 -2'
loop_
_atom_site_label
_atom_site_fract_x
_atom_site_fract_y
_atom_site_fract_z
Be1 0.000 0.000 0.000
Ir1 0.000 0.500 0.808
Se1 0.000 0.000 0.590
Se2 0.000 0.500 0.186
# Formation energy without anion corrections   0.251 eV/atom
# Total magnetization   0.0 μB/f.u.
# Density of states at the Fermi level   0.560 states/eV per atom
# ΔE to the lowest computed polymorph   529 meV/atom

Copy entry 1 word for word.
# BeIrSe2 PBE optimized geometry
data_BeIrSe2
_chemical_formula_sum 'Be2 Ir2 Se4'
_cell_length_a 5.005
_cell_length_b 5.005
_cell_length_c 5.341
_cell_angle_alpha 90.00
_cell_angle_beta 90.00
_cell_angle_gamma 90.00
_space_group_name_H-M_alt 'I 4/m m m'
_space_group_IT_number 139
_space_group_name_Hall '-I 4 2'
loop_
_atom_site_label
_atom_site_fract_x
_atom_site_fract_y
_atom_site_fract_z
Be1 0.000 0.000 0.000
Ir1 0.000 0.000 0.500
Se1 0.000 0.500 0.000
# Formation energy without anion corrections   0.298 eV/atom
# Total magnetization   0.0 μB/f.u.
# Density of states at the Fermi level   0.404 states/eV per atom
# ΔE to the lowest computed polymorph   577 meV/atom